Entry 1:
Entry from OQMD: a geometry-optimized Cu3Ag structure (GGA-PBE).

abc: 5.3415 7.5386 10.6510
angles: 90.00 90.00 90.00
Space group Fmmm (No. 69)
Symmetry-distinct sites (fractional):
Cu1 0.0000 0.0000 0.1181 [8 per cell]
Cu2 0.2500 0.2500 0.0000 [8 per cell]
Cu3 0.2500 0.2500 0.2500 [8 per cell]
Ag1 0.0000 0.0000 0.3693 [8 per cell]

Results
crystal system = orthorhombic
V = 13.40 A^3/atom
formation energy from the elements = 84 meV/atom

Entry 2:
Entry from OQMD: a geometry-optimized KLiTa2O5 structure (GGA-PBE).

abc: 6.4028 5.2814 7.8987
angles: 90.00 91.37 90.00
Space group P2_1 (No. 4)
Symmetry-distinct sites (fractional):
K1 0.0116 0.0000 0.1782 [2 per cell]
Li1 0.1193 0.0722 0.6060 [2 per cell]
Ta1 0.3764 0.6357 0.4674 [2 per cell]
Ta2 0.4413 0.9293 0.8601 [2 per cell]
O1 0.1068 0.7568 0.4893 [2 per cell]
O2 0.1608 0.9952 0.8470 [2 per cell]
O3 0.3205 0.6207 0.2198 [2 per cell]
O4 0.3654 0.3383 0.6062 [2 per cell]
O5 0.4946 0.5898 0.9141 [2 per cell]

Results
crystal system = monoclinic
uncorrected energy = -7.997 eV per atom
V = 14.83 A^3/atom
M_tot = 0.00 μB/f.u.

Entry 3:
Entry from OQMD: a geometry-optimized Be2CoSn structure (GGA-PBE).

abc: 5.8002 5.8002 5.8002
angles: 90.00 90.00 90.00
Space group F-43m (No. 216)
Symmetry-distinct sites (fractional):
Be1 0.0000 0.0000 0.0000 [4 per cell]
Be2 0.2500 0.2500 0.2500 [4 per cell]
Co1 0.0000 0.0000 0.5000 [4 per cell]
Sn1 0.2500 0.2500 0.7500 [4 per cell]

Results
crystal system = cubic
uncorrected energy = -4.372 eV per atom
V = 12.20 A^3/atom
M_tot = 0.00 μB/f.u.

Entry 4:
Entry from OQMD: a geometry-optimized Rb2LiPdCl6 structure (GGA-PBE).

abc: 7.0706 7.0706 10.0125
angles: 90.00 90.00 90.00
Space group I4/mmm (No. 139)
Symmetry-distinct sites (fractional):
Rb1 0.0000 0.5000 0.2500 [4 per cell]
Li1 0.0000 0.0000 0.0000 [2 per cell]
Pd1 0.0000 0.0000 0.5000 [2 per cell]
Cl1 0.0000 0.0000 0.2579 [4 per cell]
Cl2 0.2434 0.2434 0.5000 [8 per cell]

Results
crystal system = tetragonal
uncorrected energy = -3.306 eV per atom
V = 25.03 A^3/atom

Entry 5:
Entry from OQMD: a geometry-optimized PdF4 structure (GGA-PBE).

abc: 4.8135 5.2578 8.8785
angles: 90.00 90.00 90.00
Space group P2_12_12_1 (No. 19)
Symmetry-distinct sites (fractional):
Pd1 0.1664 0.1248 0.1200 [4 per cell]
F1 0.0109 0.8704 0.7386 [4 per cell]
F2 0.0413 0.8113 0.2184 [4 per cell]
F3 0.1632 0.0898 0.4795 [4 per cell]
F4 0.1808 0.5895 0.5072 [4 per cell]

Results
crystal system = orthorhombic
uncorrected energy = -3.577 eV per atom
V = 11.24 A^3/atom

Entry 6:
Entry from OQMD: a geometry-optimized LuCoSbIr structure (GGA-PBE).

abc: 6.5050 6.5050 6.5050
angles: 90.00 90.00 90.00
Space group F-43m (No. 216)
Symmetry-distinct sites (fractional):
Lu1 0.0000 0.0000 0.0000 [4 per cell]
Co1 0.2500 0.2500 0.7500 [4 per cell]
Sb1 0.0000 0.0000 0.5000 [4 per cell]
Ir1 0.2500 0.2500 0.2500 [4 per cell]

Results
crystal system = cubic
uncorrected energy = -6.550 eV per atom
V = 17.20 A^3/atom
M_tot = 1.93 μB/f.u.

Entry 7:
Entry from OQMD: a geometry-optimized Nd3In3GePd2 structure (GGA-PBE).

abc: 7.8797 7.8797 4.0580
angles: 90.00 90.00 120.00
Space group P-62m (No. 189)
Symmetry-distinct sites (fractional):
Nd1 0.0000 0.6026 0.0000 [3 per cell]
In1 0.0000 0.2681 0.5000 [3 per cell]
Ge1 0.0000 0.0000 0.0000 [1 per cell]
Pd1 0.3333 0.6667 0.5000 [2 per cell]

Results
crystal system = hexagonal
uncorrected energy = -4.846 eV per atom
V = 24.25 A^3/atom
M_tot = 0.00 μB/f.u.

Entry 8:
Entry from OQMD: a geometry-optimized LuZnFeAs structure (GGA-PBE).

abc: 6.4351 6.4351 6.4351
angles: 90.00 90.00 90.00
Space group F-43m (No. 216)
Symmetry-distinct sites (fractional):
Lu1 0.0000 0.0000 0.0000 [4 per cell]
Zn1 0.2500 0.2500 0.2500 [4 per cell]
Fe1 0.2500 0.2500 0.7500 [4 per cell]
As1 0.0000 0.0000 0.5000 [4 per cell]

Results
crystal system = cubic
uncorrected energy = -4.666 eV per atom
V = 16.65 A^3/atom
M_tot = 1.66 μB/f.u.

Entry 9:
Entry from OQMD: a geometry-optimized LaTmNO structure (GGA-PBE).

abc: 6.7612 8.2352 5.0602
angles: 90.00 90.00 90.00
Space group Pca2_1 (No. 29)
Symmetry-distinct sites (fractional):
La1 0.0647 0.1286 0.0000 [4 per cell]
Tm1 0.0873 0.6171 0.9990 [4 per cell]
N1 0.0829 0.6124 0.5002 [4 per cell]
O1 0.0820 0.1544 0.5002 [4 per cell]

Results
crystal system = orthorhombic
uncorrected energy = -7.853 eV per atom
V = 17.61 A^3/atom
M_tot = 0.34 μB/f.u.

Entry 10:
Entry from OQMD: a geometry-optimized Th2B2C3 structure (GGA-PBE).

abc: 3.9913 13.1205 3.6472
angles: 90.00 90.00 90.00
Space group Pnnm (No. 58)
Symmetry-distinct sites (fractional):
Th1 0.1430 0.1437 0.0000 [4 per cell]
B1 0.1668 0.4487 0.0000 [4 per cell]
C1 0.0000 0.0000 0.5000 [2 per cell]
C2 0.1096 0.3329 0.0000 [4 per cell]

Results
crystal system = orthorhombic
uncorrected energy = -8.400 eV per atom
V = 13.64 A^3/atom
M_tot = 0.00 μB/f.u.

Entry 11:
Entry from OQMD: a geometry-optimized NdMgPO structure (GGA-PBE).

abc: 4.5335 6.1578 5.8804
angles: 90.00 90.00 90.00
Space group Pmc2_1 (No. 26)
Symmetry-distinct sites (fractional):
Nd1 0.0000 0.2369 0.0000 [2 per cell]
Mg1 0.5000 0.3690 0.6049 [2 per cell]
P1 0.0000 0.2322 0.4960 [2 per cell]
O1 0.5000 0.3429 0.9476 [2 per cell]

Results
crystal system = orthorhombic
uncorrected energy = -6.099 eV per atom
V = 20.52 A^3/atom
M_tot = 0.00 μB/f.u.

Entry 12:
Entry from OQMD: a geometry-optimized Cd4OF6 structure (GGA-PBE).

abc: 7.4661 7.4661 5.3875
angles: 90.00 90.00 90.00
Space group P4_2/nmc (No. 137, origin choice 2)
Symmetry-distinct sites (fractional):
Cd1 0.0015 0.2500 0.0533 [8 per cell]
O1 0.2500 0.7500 0.7500 [2 per cell]
F1 0.0388 0.5388 0.2500 [8 per cell]
F2 0.2500 0.2500 0.3218 [4 per cell]

Results
crystal system = tetragonal
uncorrected energy = -3.787 eV per atom
V = 13.65 A^3/atom